--- one ---
Density functional theory data (GGA-PBE) for a relaxed structure of Te2PPb.

Cell and atoms, written as POSCAR:
```
Te2PPb
1.0
5.428 0.000 0.000
0.000 4.075 0.000
-1.901 0.000 5.240
Te P Pb
2 1 1
direct
0.220 0.000 0.282 Te
0.780 0.000 0.718 Te
0.000 0.500 0.500 P
0.500 0.500 0.000 Pb
```

Properties
SG: No. 10
DOS(E_F) in states/eV/atom: 0.614

--- two ---
Density functional theory data (GGA-PBE) for a relaxed structure of Te2PPb.

Cell and atoms, written as POSCAR:
```
Te2PPb
1.0
2.016 -3.588 0.000
2.016 3.588 0.000
0.000 0.000 8.828
Te P Pb
2 1 1
direct
0.000 0.000 0.000 Te
0.500 0.500 0.317 Te
0.000 0.000 0.495 P
0.500 0.500 0.753 Pb
```

Properties
SG: No. 35
DOS(E_F) in states/eV/atom: 0.655

Here is how they stack up, most stable first: one, two.

--- one ---
Density functional theory data (GGA-PBE) for a relaxed structure of TePPb.

Cell and atoms, written as POSCAR:
```
TePPb
1.0
7.233 0.000 0.000
0.000 7.360 0.000
0.000 0.000 14.488
Te P Pb
8 8 8
direct
0.095 0.108 0.166 Te
0.095 0.392 0.666 Te
0.405 0.608 0.166 Te
0.405 0.892 0.666 Te
0.595 0.108 0.334 Te
0.595 0.392 0.834 Te
0.905 0.608 0.334 Te
0.905 0.892 0.834 Te
0.100 0.688 0.925 P
0.100 0.812 0.425 P
0.400 0.188 0.925 P
0.400 0.312 0.425 P
0.600 0.688 0.575 P
0.600 0.812 0.075 P
0.900 0.188 0.575 P
0.900 0.312 0.075 P
0.033 0.190 0.390 Pb
0.033 0.310 0.890 Pb
0.467 0.690 0.390 Pb
0.467 0.810 0.890 Pb
0.533 0.190 0.110 Pb
0.533 0.310 0.610 Pb
0.967 0.690 0.110 Pb
0.967 0.810 0.610 Pb
```

Properties
SG: No. 61
DOS(E_F) in states/eV/atom: 0.554

--- two ---
Density functional theory data (GGA-PBE) for a relaxed structure of TePPb.

Cell and atoms, written as POSCAR:
```
TePPb
1.0
4.189 0.000 0.000
-2.095 3.628 0.000
0.000 0.000 5.331
Te P Pb
1 1 1
direct
0.000 0.000 0.000 Te
0.333 0.667 0.318 P
0.667 0.333 0.601 Pb
```

Properties
SG: No. 156
DOS(E_F) in states/eV/atom: 0.672

--- three ---
Density functional theory data (GGA-PBE) for a relaxed structure of TePPb.

Cell and atoms, written as POSCAR:
```
TePPb
1.0
0.000 2.350 7.714
2.233 0.000 7.714
2.233 2.350 0.000
Te P Pb
1 1 1
direct
0.000 0.000 0.000 Te
0.677 0.677 0.323 P
0.300 0.300 0.700 Pb
```

Properties
SG: No. 42
DOS(E_F) in states/eV/atom: 0.512

Here is how they stack up, most stable first: one, two, three.